# PBE K2Tl2Sb3, optimized geometry
data_K2Tl2Sb3
_cell_length_a 13.094
_cell_length_b 5.064
_cell_length_c 8.008
_cell_angle_alpha 90.00
_cell_angle_beta 109.97
_cell_angle_gamma 90.00
_space_group_name_H-M_alt 'C 1 2/m 1'
_space_group_IT_number 12
loop_
_space_group_symop_operation_xyz
'x,y,z'
'-x,-y,-z'
'-x,y,-z'
'x,-y,z'
'x+1/2,y+1/2,z'
'-x+1/2,-y+1/2,-z'
'-x+1/2,y+1/2,-z'
'x+1/2,-y+1/2,z'
loop_
_atom_site_label
_atom_site_type_symbol
_atom_site_fract_x
_atom_site_fract_y
_atom_site_fract_z
K1 K 0.137 0.000 0.277
Tl1 Tl 0.163 0.000 0.751
Sb1 Sb 0.000 0.500 0.500
Sb2 Sb 0.081 0.500 0.918
# Crystal system ... monoclinic
# Formation energy from raw total energies ... -228 meV per atom
# Total magnetization ... 0.000 μB/atom


# PBE K2TlSb, optimized geometry
data_K2TlSb
_cell_length_a 4.201
_cell_length_b 4.201
_cell_length_c 9.835
_cell_angle_alpha 90.00
_cell_angle_beta 90.00
_cell_angle_gamma 90.00
_space_group_name_H-M_alt 'P 4 m m'
_space_group_IT_number 99
loop_
_space_group_symop_operation_xyz
'x,y,z'
'-y,x,z'
'-x,-y,z'
'y,-x,z'
'-x,y,z'
'y,x,z'
'x,-y,z'
'-y,-x,z'
loop_
_atom_site_label
_atom_site_type_symbol
_atom_site_fract_x
_atom_site_fract_y
_atom_site_fract_z
K1 K 0.000 0.000 0.000
K2 K 0.500 0.500 0.416
Tl1 Tl 0.500 0.500 0.778
Sb1 Sb 0.000 0.000 0.637
# Crystal system ... tetragonal
# Formation energy from raw total energies ... -152 meV per atom
# Total magnetization ... 0.052 μB/atom


Record order is preserved below.
Mass density: 5.67; 3.87 g/cm³